1.
Entry from the Alexandria database: TbNd3SmEr after structural relaxation (PBE).

Output
formation enthalpy at 0 K = 2 kJ per mole of atoms
crystal system = orthorhombic

Structure (POSCAR):
```
TbNd3SmEr
1.0
5.112 0.000 0.000
-2.556 7.705 0.000
0.000 0.000 10.239
Tb Nd Sm Er
2 6 2 2
direct
0.499 0.997 0.750 Tb
0.501 0.003 0.250 Tb
0.666 0.332 0.499 Nd
0.334 0.668 0.501 Nd
0.334 0.668 0.999 Nd
0.666 0.332 0.001 Nd
0.167 0.334 0.750 Nd
0.833 0.666 0.250 Nd
0.000 0.000 0.500 Sm
0.000 0.000 0.000 Sm
0.835 0.669 0.750 Er
0.165 0.331 0.250 Er
```

2.
Entry from the Alexandria database: Tb6NdSm2Er3 after structural relaxation (PBE).

Output
formation enthalpy at 0 K = 2 kJ per mole of atoms
crystal system = monoclinic

Structure (POSCAR):
```
Tb6NdSm2Er3
1.0
6.179 0.001 0.009
-3.087 5.352 0.009
-1.043 -1.806 11.635
Tb Nd Sm Er
6 1 2 3
direct
0.915 0.581 0.746 Tb
0.751 0.751 0.254 Tb
0.085 0.419 0.254 Tb
0.581 0.915 0.746 Tb
0.249 0.249 0.746 Tb
0.419 0.085 0.254 Tb
0.000 0.000 0.000 Nd
0.333 0.667 0.000 Sm
0.667 0.333 0.000 Sm
0.167 0.833 0.500 Er
0.833 0.167 0.500 Er
0.500 0.500 0.500 Er
```

3.
Entry from the Alexandria database: TbNdSm4Er2 after structural relaxation (PBE).

Output
formation enthalpy at 0 K = 39 kJ per mole of atoms
crystal system = monoclinic

Structure (POSCAR):
```
TbNdSm4Er2
1.0
9.380 -0.002 -1.724
-0.008 9.380 -1.724
-5.969 -5.973 8.320
Tb Nd Sm Er
2 2 8 4
direct
0.500 0.500 0.500 Tb
0.000 0.000 0.000 Tb
0.000 0.500 0.000 Nd
0.000 0.500 0.500 Nd
0.251 0.747 0.998 Sm
0.753 0.249 0.502 Sm
0.247 0.751 0.498 Sm
0.749 0.253 0.002 Sm
0.726 0.732 0.980 Sm
0.768 0.774 0.520 Sm
0.232 0.226 0.480 Sm
0.274 0.268 0.020 Sm
0.500 0.000 0.000 Er
0.500 0.000 0.500 Er
0.000 0.000 0.500 Er
0.500 0.500 0.000 Er
```